PBE-GGA Li2Pr3NbO9, optimized geometry; calculated density = 6.167 Mg/m³; spin magnetization = 2.08 μB per formula unit; crystal system = trigonal; total energy = -0.5387 Ry per atom
1.0
5.487 0.000 0.000
-2.744 4.752 0.000
0.000 0.000 6.955
Li Pr Nb O
2 3 1 9
Cartesian
0.000 3.168 1.283
2.744 1.584 5.672
0.000 0.000 0.000
0.000 3.168 5.037
2.744 1.584 1.918
0.000 0.000 3.477
-1.372 2.376 0.000
0.000 1.559 2.257
-1.393 3.973 2.257
1.350 0.779 4.698
2.744 0.000 0.000
1.372 2.376 0.000
1.393 3.973 2.257
4.137 0.779 4.698
2.744 3.193 4.698